1.
Entry from the Alexandria database: a relaxed structure of KCeEr4Se8 (PBE).

a = 8.6703 Å, b = 8.6703 Å, c = 8.6703 Å
α = 58.73°, β = 58.73°, γ = 58.73°
Closest atoms and distances in Å follow each position.
Element x y z (fractional)
1 K 0.0000 0.0000 0.0000  4 Se 2.95-2.96
2 Ce 0.6331 0.6331 0.6331  6 Se 2.89-3.09
3 Er 0.1152 0.6338 0.6338  6 Se 2.76-3.00
4 Er 0.2551 0.2551 0.2551  4 Se 2.75-2.82
5 Er 0.6338 0.1152 0.6338  6 Se 2.76-3.00
6 Er 0.6338 0.6338 0.1152  6 Se 2.76-3.00
7 Se 0.3802 0.3802 0.8603  3 Er 2.75-2.99
8 Se 0.3802 0.8603 0.3802  3 Er 2.75-2.99
9 Se 0.3865 0.3865 0.3865  4 Er 2.82-3.00
10 Se 0.4242 0.8700 0.8700  2 Er 2.76, 1 Ce 2.89, 1 K 2.96
11 Se 0.8603 0.3802 0.3802  3 Er 2.75-2.99
12 Se 0.8624 0.8624 0.8624  3 Er 2.78, 1 K 2.95
13 Se 0.8700 0.4242 0.8700  2 Er 2.76, 1 Ce 2.89, 1 K 2.96
14 Se 0.8700 0.8700 0.4242  2 Er 2.76, 1 Ce 2.89, 1 K 2.96

Calculated values
Mass density   5.5 g cm⁻³
Electronic total energy   -77.15 eV for the cell shown

2.
Entry from the Alexandria database: a relaxed structure of K3Ce2ErTe6 (PBE).

a = 7.9672 Å, b = 7.9672 Å, c = 8.6374 Å
α = 98.85°, β = 98.85°, γ = 120.01°
Closest atoms and distances in Å follow each position.
Element x y z (fractional)
1 K 0.0000 0.0000 0.0000  6 Te 3.53-3.62
2 K 0.3312 0.6688 0.0000  6 Te 3.53-3.60
3 K 0.6688 0.3312 0.0000  6 Te 3.53-3.60
4 Ce 0.1664 0.8336 0.5000  6 Te 3.21
5 Ce 0.8336 0.1664 0.5000  6 Te 3.21
6 Er 0.5000 0.5000 0.5000  6 Te 3.11
7 Te 0.1061 0.4297 0.2887  1 Er 3.11, 2 Ce 3.21
8 Te 0.2474 0.2474 0.7118  1 Er 3.11, 2 Ce 3.21
9 Te 0.4297 0.1061 0.2887  1 Er 3.11, 2 Ce 3.21
10 Te 0.5703 0.8939 0.7113  1 Er 3.11, 2 Ce 3.21
11 Te 0.7526 0.7526 0.2882  1 Er 3.11, 2 Ce 3.21
12 Te 0.8939 0.5703 0.7113  1 Er 3.11, 2 Ce 3.21

Calculated values
Mass density   4.9 g cm⁻³
Electronic total energy   -54.83 eV for the cell shown

3.
Entry from the Alexandria database: a relaxed structure of K4CeEr3Te8 (PBE).

a = 9.7512 Å, b = 9.7512 Å, c = 9.7512 Å
α = 55.21°, β = 55.21°, γ = 55.21°
Closest atoms and distances in Å follow each position.
Element x y z (fractional)
1 K 0.0000 0.0000 0.0000  6 Te 3.49
2 K 0.0000 0.5000 0.5000  6 Te 3.56-3.57
3 K 0.5000 0.0000 0.5000  6 Te 3.56-3.57
4 K 0.5000 0.5000 0.0000  6 Te 3.56-3.57
5 Ce 0.5000 0.5000 0.5000  6 Te 3.19
6 Er 0.0000 0.0000 0.5000  6 Te 3.10-3.11
7 Er 0.0000 0.5000 0.0000  6 Te 3.10-3.11
8 Er 0.5000 0.0000 0.0000  6 Te 3.10-3.11
9 Te 0.2271 0.7412 0.7412  2 Er 3.10, 1 Ce 3.19
10 Te 0.2352 0.2352 0.2352  3 Er 3.11
11 Te 0.2588 0.2588 0.7729  2 Er 3.10, 1 Ce 3.19
12 Te 0.2588 0.7729 0.2588  2 Er 3.10, 1 Ce 3.19
13 Te 0.7412 0.2271 0.7412  2 Er 3.10, 1 Ce 3.19
14 Te 0.7412 0.7412 0.2271  2 Er 3.10, 1 Ce 3.19
15 Te 0.7648 0.7648 0.7648  3 Er 3.11
16 Te 0.7729 0.2588 0.2588  2 Er 3.10, 1 Ce 3.19

Calculated values
Mass density   5.2 g cm⁻³
Electronic total energy   -71.01 eV for the cell shown

Record-wise V values, in Å³/cell: 447.49 451.73 582.58
Record-wise DOS(E_F) values, in states/eV/f.u.: 8.14 12.62 8.70